Entry 1:
GeBCl: optimized geometry, PBE.

Properties
- Symmetry: C2/m, No. 12
- Formation energy without anion corrections: 0.13 eV per atom

Cell and atoms, written as POSCAR:
```
GeBCl
1.0
2.9057 -0.3329 0.0639
0.5781 5.2448 1.0185
1.3719 0.8913 8.7983
B Cl Ge
2 2 2
Direct
0.4110 0.9105 0.1793
0.5890 0.0895 0.8207
0.1645 0.1655 0.6688
0.8355 0.8345 0.3312
0.5001 0.2700 0.0000
0.4999 0.7300 0.0000
```


Entry 2:
GeB2Cl2: optimized geometry, PBE.

Properties
- Energy above the lowest structure with this stoichiometry: 0 meV per atom
- Symmetry: I4/mmm, No. 139
- Formation energy without anion corrections: 0.90 eV per atom

Cell and atoms, written as POSCAR:
```
GeB2Cl2
1.0
2.9027 0.0000 0.0000
0.0000 2.9027 0.0000
1.4514 1.4514 8.8682
B Cl Ge
2 2 1
Direct
0.2500 0.7500 0.5000
0.7500 0.2500 0.5000
0.6272 0.6272 0.7456
0.3728 0.3728 0.2544
0.0000 0.0000 0.0000
```


Entry 3:
GeBCl3: optimized geometry, PBE.

Properties
- Energy above the lowest structure with this stoichiometry: 102 meV per atom
- Symmetry: Pm-3m, No. 221
- Formation energy without anion corrections: 0.47 eV per atom

Cell and atoms, written as POSCAR:
```
GeBCl3
1.0
5.1052 0.0000 0.0000
0.0000 5.1052 0.0000
0.0000 0.0000 5.1052
Ge Cl B
1 3 1
Direct
0.0000 0.0000 0.0000
0.0000 0.5000 0.0000
0.0000 0.0000 0.5000
0.5000 0.0000 0.0000
0.5000 0.5000 0.5000
```


Entry 4:
HfGeB2Cl: optimized geometry, PBE.

Properties
- Symmetry: P4/mmm, No. 123
- Formation energy without anion corrections: 1.10 eV per atom

Cell and atoms, written as POSCAR:
```
HfGeB2Cl
1.0
3.9933 0.0000 0.0000
0.0000 5.3594 0.0000
0.0000 0.0000 3.9933
Hf Ge B Cl
1 1 2 1
Direct
0.0000 0.5000 0.0000
0.0000 0.0000 0.0000
0.5000 0.0000 0.0000
0.0000 0.0000 0.5000
0.5000 0.5000 0.5000
```


Entry 5:
InGe2BCl: optimized geometry, PBE.

Properties
- Symmetry: P4/mmm, No. 123
- Formation energy without anion corrections: 1.19 eV per atom

Cell and atoms, written as POSCAR:
```
InGe2BCl
1.0
-3.2149 -0.8390 -3.7410
1.1544 -4.3564 -0.0150
-3.6133 -0.9690 3.3225
Ge Cl In B
2 1 1 1
Direct
0.5000 0.0000 0.0000
0.0000 0.0000 0.5000
0.0000 0.0000 0.0000
0.5000 0.5000 0.5000
0.0000 0.5000 0.0000
```


Entry 6:
GeB2IrCl: optimized geometry, PBE.

Properties
- Symmetry: P4/mmm, No. 123
- Formation energy without anion corrections: 1.95 eV per atom

Cell and atoms, written as POSCAR:
```
GeB2IrCl
1.0
3.8089 0.0000 0.0000
0.0000 4.8102 0.0000
0.0000 0.0000 3.8089
B Ir Cl Ge
2 1 1 1
Direct
0.0000 0.0000 0.5000
0.5000 0.0000 0.0000
0.5000 0.5000 0.5000
0.0000 0.0000 0.0000
0.0000 0.5000 0.0000
```


Repeat the sixth record exactly.
GeB2IrCl: optimized geometry, PBE.

Properties
- Symmetry: P4/mmm, No. 123
- Formation energy without anion corrections: 1.95 eV per atom

Cell and atoms, written as POSCAR:
```
GeB2IrCl
1.0
3.8089 0.0000 0.0000
0.0000 4.8102 0.0000
0.0000 0.0000 3.8089
B Ir Cl Ge
2 1 1 1
Direct
0.0000 0.0000 0.5000
0.5000 0.0000 0.0000
0.5000 0.5000 0.5000
0.0000 0.0000 0.0000
0.0000 0.5000 0.0000
```